Run a
# Zn6Pt

Crystalline Zn6Pt at its relaxed geometry (PBE, the Alexandria database).

Properties
SG: P4/nbm (125)
Density of states at the Fermi level in states/eV/cell: 4.00

Cell: 4.882 4.882 9.190 Å, 90.00 90.00 90.00°
Positions (direct):
Pt 0.500 0.000 0.000
Zn 0.322 0.822 0.359
Pt 0.000 0.500 0.000
Zn 0.000 0.000 0.135
Zn 0.822 0.322 0.641
Zn 0.678 0.822 0.641
Zn 0.500 0.500 0.865
Zn 0.178 0.678 0.641
Zn 0.322 0.178 0.641
Zn 0.178 0.322 0.359
Zn 0.000 0.000 0.865
Zn 0.500 0.500 0.135
Zn 0.678 0.178 0.359
Zn 0.822 0.678 0.359

Run b
# Zn6Pt

Crystalline Zn6Pt at its relaxed geometry (PBE, the Alexandria database).

Properties
SG: Im-3m (229)
Density of states at the Fermi level in states/eV/cell: 3.97

Cell: 5.897 5.897 5.897 Å, 109.47 109.47 109.47°
Positions (direct):
Zn 0.250 0.750 0.500
Zn 0.750 0.500 0.250
Zn 0.500 0.250 0.750
Zn 0.250 0.500 0.750
Zn 0.500 0.750 0.250
Zn 0.750 0.250 0.500
Pt 0.000 0.000 0.000

Energies relative to the minimum, meV/atom: run a 0; run b 822

Run a
# Zr4ZnPt

Crystalline Zr4ZnPt at its relaxed geometry (PBE, the Alexandria database).

Properties
SG: Cccm (66)
Density of states at the Fermi level in states/eV/cell: 15.78

Cell: 6.660 5.281 8.131 Å, 90.03 114.17 90.00°
Positions (direct):
Zr 0.704 0.000 0.693
Zr 0.281 0.000 0.859
Zr 0.719 0.000 0.141
Zr 0.011 0.500 0.307
Zr 0.296 0.000 0.307
Zn 0.000 0.000 0.500
Zn 0.500 0.500 0.500
Zr 0.989 0.500 0.693
Zr 0.422 0.500 0.141
Pt 0.000 0.750 0.000
Zr 0.578 0.500 0.859
Pt 0.000 0.250 0.000

Run b
# Zr4ZnPt

Crystalline Zr4ZnPt at its relaxed geometry (PBE, the Alexandria database).

Properties
SG: F-43m (216)
Density of states at the Fermi level in states/eV/cell: 4.81

Cell: 5.603 5.603 5.603 Å, 60.00 60.00 60.00°
Positions (direct):
Zr 0.375 0.375 0.375
Zr 0.375 0.375 0.875
Zr 0.875 0.375 0.375
Zn 0.000 0.000 0.000
Pt 0.750 0.750 0.750
Zr 0.375 0.875 0.375

Run c
# Zr4ZnPt

Crystalline Zr4ZnPt at its relaxed geometry (PBE, the Alexandria database).

Properties
SG: I422 (97)
Density of states at the Fermi level in states/eV/cell: 6.76

Cell: 5.480 5.480 5.480 Å, 103.51 103.51 122.18°
Positions (direct):
Pt 0.500 0.500 0.000
Zr 0.407 0.593 0.500
Zr 0.093 0.907 0.500
Zn 0.000 0.000 0.000
Zr 0.593 0.093 0.187
Zr 0.907 0.407 0.813

Energies relative to the minimum, meV/atom: run a 203; run b 663; run c 0

Run a
# Zr2Zn3Pt4

Crystalline Zr2Zn3Pt4 at its relaxed geometry (PBE, the Alexandria database).

Properties
SG: C2/m (12)
Density of states at the Fermi level in states/eV/cell: 3.28

Cell: 4.113 4.882 8.522 Å, 73.42 89.99 65.07°
Positions (direct):
Pt 0.344 0.312 0.110
Zr 0.683 0.633 0.226
Pt 0.656 0.688 0.890
Pt 0.972 0.056 0.662
Pt 0.028 0.944 0.338
Zn 0.000 0.000 0.000
Zn 0.351 0.297 0.443
Zn 0.649 0.703 0.557
Zr 0.317 0.367 0.774

Run b
# Zr2Zn3Pt4

Crystalline Zr2Zn3Pt4 at its relaxed geometry (PBE, the Alexandria database).

Properties
SG: Cmce (64)
Density of states at the Fermi level in states/eV/cell: 12.71

Cell: 5.372 7.542 7.977 Å, 90.00 109.68 90.00°
Positions (direct):
Pt 0.826 0.028 0.653
Pt 0.310 0.250 0.119
Zr 0.105 0.592 0.210
Pt 0.174 0.972 0.347
Zr 0.895 0.408 0.790
Pt 0.190 0.750 0.881
Zn 0.500 0.500 0.000
Zn 0.982 0.250 0.465
Pt 0.690 0.750 0.881
Zr 0.605 0.908 0.210
Zr 0.395 0.092 0.790
Zn 0.482 0.250 0.465
Pt 0.674 0.528 0.347
Zn 0.018 0.750 0.535
Pt 0.810 0.250 0.119
Zn 0.518 0.750 0.535
Pt 0.326 0.472 0.653
Zn 0.000 0.000 0.000

Energies relative to the minimum, meV/atom: run a 0; run b 63